This record from Alexandria via LeMat-Bulk describes a relaxed CeZrAu crystal. The functional is GGA-PBE.

The energy relative to the elements is -31.9 kJ/mol of atoms. Its symmetry is No. 107.

Unit cell a=6.8141 b=6.8141 c=6.8141 alpha=151.68 beta=151.68 gamma=40.48
Sites, in units of the cell vectors:
Ce1 0.0000 0.0000 0.0000
Zr1 0.3136 0.3136 0.0000
Au1 0.6794 0.6794 0.0000